# TeIrOs (PBE, relaxed)
data_TeIrOs
_cell_length_a 4.272
_cell_length_b 4.272
_cell_length_c 3.338
_cell_angle_alpha 90.00
_cell_angle_beta 90.00
_cell_angle_gamma 120.00
_symmetry_space_group_name_H-M 'P 1'
_symmetry_Int_Tables_number 1
loop_
_symmetry_equiv_pos_as_xyz
'x,y,z'
loop_
_atom_site_label
_atom_site_fract_x
_atom_site_fract_y
_atom_site_fract_z
Te1 0.000 0.000 0.000
Ir1 0.667 0.333 0.312
Os1 0.333 0.667 0.773
# Mass density   16.055 g/cm³
# SG   P3m1 (156)
# Formation energy without anion corrections   233 kJ/mol of formula units
# Energy   -20.82 eV/cell
# Energy relative to the lowest polymorph listed for this composition   21.0 kJ per mole of atoms

***

# Pm3Zn6Pt5 (PBE, relaxed)
data_Pm3Zn6Pt5
_cell_length_a 4.303
_cell_length_b 12.833
_cell_length_c 9.524
_cell_angle_alpha 90.00
_cell_angle_beta 90.00
_cell_angle_gamma 90.00
_symmetry_space_group_name_H-M 'P 1'
_symmetry_Int_Tables_number 1
loop_
_symmetry_equiv_pos_as_xyz
'x,y,z'
loop_
_atom_site_label
_atom_site_fract_x
_atom_site_fract_y
_atom_site_fract_z
Pm1 0.250 0.056 0.249
Pm2 0.250 0.444 0.249
Pm3 0.250 0.750 0.239
Pm4 0.750 0.250 0.761
Pm5 0.750 0.556 0.751
Pm6 0.750 0.944 0.751
Zn1 0.250 0.069 0.912
Zn2 0.250 0.250 0.056
Zn3 0.250 0.250 0.466
Zn4 0.250 0.431 0.912
Zn5 0.250 0.600 0.518
Zn6 0.250 0.900 0.518
Zn7 0.750 0.100 0.482
Zn8 0.750 0.400 0.482
Zn9 0.750 0.569 0.088
Zn10 0.750 0.750 0.534
Zn11 0.750 0.750 0.944
Zn12 0.750 0.931 0.088
Pt1 0.250 0.092 0.638
Pt2 0.250 0.408 0.638
Pt3 0.250 0.636 0.958
Pt4 0.250 0.750 0.705
Pt5 0.250 0.864 0.958
Pt6 0.750 0.136 0.042
Pt7 0.750 0.250 0.295
Pt8 0.750 0.364 0.042
Pt9 0.750 0.592 0.362
Pt10 0.750 0.908 0.362
# Mass density   11.383 g/cm³
# SG   Pmmn (59)
# Energy   -126.22 eV/cell
# Formation energy from the elements   -0.787 eV/atom

***

# Sc3NiGe2 (PBE, relaxed)
data_Sc3NiGe2
_cell_length_a 10.770
_cell_length_b 4.021
_cell_length_c 10.397
_cell_angle_alpha 90.00
_cell_angle_beta 90.00
_cell_angle_gamma 90.00
_symmetry_space_group_name_H-M 'P 1'
_symmetry_Int_Tables_number 1
loop_
_symmetry_equiv_pos_as_xyz
'x,y,z'
loop_
_atom_site_label
_atom_site_fract_x
_atom_site_fract_y
_atom_site_fract_z
Sc1 0.054 0.250 0.127
Sc2 0.124 0.750 0.561
Sc3 0.223 0.250 0.803
Sc4 0.277 0.750 0.303
Sc5 0.376 0.250 0.061
Sc6 0.446 0.750 0.627
Sc7 0.554 0.250 0.373
Sc8 0.624 0.750 0.939
Sc9 0.723 0.250 0.697
Sc10 0.777 0.750 0.197
Sc11 0.876 0.250 0.439
Sc12 0.946 0.750 0.873
Ni1 0.128 0.250 0.369
Ni2 0.372 0.750 0.869
Ni3 0.628 0.250 0.131
Ni4 0.872 0.750 0.631
Ge1 0.011 0.750 0.313
Ge2 0.189 0.750 0.003
Ge3 0.311 0.250 0.503
Ge4 0.489 0.250 0.813
Ge5 0.511 0.750 0.187
Ge6 0.689 0.750 0.497
Ge7 0.811 0.250 0.997
Ge8 0.989 0.250 0.687
# Mass density   4.998 g/cm³
# SG   Pnma (62)
# Energy   -154.98 eV/cell
# Formation energy from the elements   -0.789 eV/atom

***

# LiPaAs (PBE, relaxed)
data_LiPaAs
_cell_length_a 9.375
_cell_length_b 9.375
_cell_length_c 9.375
_cell_angle_alpha 24.12
_cell_angle_beta 24.12
_cell_angle_gamma 24.12
_symmetry_space_group_name_H-M 'P 1'
_symmetry_Int_Tables_number 1
loop_
_symmetry_equiv_pos_as_xyz
'x,y,z'
loop_
_atom_site_label
_atom_site_fract_x
_atom_site_fract_y
_atom_site_fract_z
Li1 0.197 0.197 0.197
Li2 0.803 0.803 0.803
Pa1 0.365 0.365 0.365
Pa2 0.635 0.635 0.635
As1 0.097 0.097 0.097
As2 0.903 0.903 0.903
# Mass density   8.590 g/cm³
# SG   R-3m (166)
# Energy   -35.59 eV/cell
# Energy relative to the lowest polymorph listed for this composition   0.0 kJ per mole of atoms
# Formation energy from the elements   -0.578 eV/atom

***

# NaLiSbSe2 (PBE, relaxed)
data_NaLiSbSe2
_cell_length_a 4.328
_cell_length_b 4.021
_cell_length_c 7.614
_cell_angle_alpha 90.00
_cell_angle_beta 103.86
_cell_angle_gamma 90.00
_symmetry_space_group_name_H-M 'P 1'
_symmetry_Int_Tables_number 1
loop_
_symmetry_equiv_pos_as_xyz
'x,y,z'
loop_
_atom_site_label
_atom_site_fract_x
_atom_site_fract_y
_atom_site_fract_z
Na1 0.000 0.000 0.000
Li1 0.500 0.000 0.500
Sb1 0.000 0.500 0.500
Se1 0.395 0.500 0.244
Se2 0.605 0.500 0.756
# Mass density   3.996 g/cm³
# SG   P2/m (10)
# Formation energy without anion corrections   -310 kJ/mol of formula units
# Energy   -17.53 eV/cell

***

# Na4IBrCl2 (PBE, relaxed)
data_Na4IBrCl2
_cell_length_a 7.366
_cell_length_b 6.044
_cell_length_c 7.364
_cell_angle_alpha 65.79
_cell_angle_beta 48.45
_cell_angle_gamma 65.75
_symmetry_space_group_name_H-M 'P 1'
_symmetry_Int_Tables_number 1
loop_
_symmetry_equiv_pos_as_xyz
'x,y,z'
loop_
_atom_site_label
_atom_site_fract_x
_atom_site_fract_y
_atom_site_fract_z
Na1 0.001 0.501 0.999
Na2 0.241 0.759 0.241
Na3 0.501 0.001 0.499
Na4 0.759 0.241 0.759
I1 0.501 0.501 0.499
Br1 0.001 0.001 0.999
Cl1 0.251 0.251 0.249
Cl2 0.751 0.751 0.749
# Mass density   2.801 g/cm³
# SG   Fmm2 (42)
# Formation energy without anion corrections   -1209 kJ/mol of formula units
# Energy   -24.73 eV/cell

***

# YSn2GeB (PBE, relaxed)
data_YSn2GeB
_cell_length_a 5.755
_cell_length_b 5.755
_cell_length_c 4.671
_cell_angle_alpha 90.00
_cell_angle_beta 90.00
_cell_angle_gamma 90.00
_symmetry_space_group_name_H-M 'P 1'
_symmetry_Int_Tables_number 1
loop_
_symmetry_equiv_pos_as_xyz
'x,y,z'
loop_
_atom_site_label
_atom_site_fract_x
_atom_site_fract_y
_atom_site_fract_z
Y1 0.000 0.000 0.000
Sn1 0.000 0.500 0.000
Sn2 0.500 0.000 0.000
Ge1 0.500 0.500 0.500
B1 0.000 0.000 0.500
# Mass density   4.398 g/cm³
# SG   P4/mmm (123)
# Energy   -19.81 eV/cell
# Formation energy from the elements   1.191 eV/atom

***

# Y6TmAl2 (PBE, relaxed)
data_Y6TmAl2
_cell_length_a 6.541
_cell_length_b 6.541
_cell_length_c 11.827
_cell_angle_alpha 108.06
_cell_angle_beta 108.06
_cell_angle_gamma 32.53
_symmetry_space_group_name_H-M 'P 1'
_symmetry_Int_Tables_number 1
loop_
_symmetry_equiv_pos_as_xyz
'x,y,z'
loop_
_atom_site_label
_atom_site_fract_x
_atom_site_fract_y
_atom_site_fract_z
Y1 0.024 0.024 0.328
Y2 0.312 0.312 0.411
Y3 0.314 0.314 0.123
Y4 0.686 0.686 0.877
Y5 0.688 0.688 0.589
Y6 0.976 0.976 0.672
Tm1 0.000 0.000 0.000
Al1 0.351 0.351 0.800
Al2 0.649 0.649 0.200
# Mass density   4.878 g/cm³
# SG   C2/m (12)
# Energy   -52.35 eV/cell
# Formation energy from the elements   -0.178 eV/atom

***

# RbTlBr2 (PBE, relaxed)
data_RbTlBr2
_cell_length_a 9.395
_cell_length_b 9.395
_cell_length_c 9.395
_cell_angle_alpha 132.41
_cell_angle_beta 132.41
_cell_angle_gamma 69.58
_symmetry_space_group_name_H-M 'P 1'
_symmetry_Int_Tables_number 1
loop_
_symmetry_equiv_pos_as_xyz
'x,y,z'
loop_
_atom_site_label
_atom_site_fract_x
_atom_site_fract_y
_atom_site_fract_z
Rb1 0.000 0.000 0.000
Rb2 0.750 0.250 0.500
Tl1 0.250 0.750 0.500
Tl2 0.500 0.500 0.000
Br1 0.141 0.625 0.016
Br2 0.375 0.391 0.516
Br3 0.609 0.125 0.984
Br4 0.875 0.859 0.484
# Mass density   3.367 g/cm³
# SG   I-42d (122)
# Formation energy without anion corrections   -474 kJ/mol of formula units
# Energy   -23.18 eV/cell
# Energy relative to the lowest polymorph listed for this composition   7.3 kJ per mole of atoms

***

# TbCeScGa (PBE, relaxed)
data_TbCeScGa
_cell_length_a 5.223
_cell_length_b 5.223
_cell_length_c 5.223
_cell_angle_alpha 60.00
_cell_angle_beta 60.00
_cell_angle_gamma 60.00
_symmetry_space_group_name_H-M 'P 1'
_symmetry_Int_Tables_number 1
loop_
_symmetry_equiv_pos_as_xyz
'x,y,z'
loop_
_atom_site_label
_atom_site_fract_x
_atom_site_fract_y
_atom_site_fract_z
Tb1 0.000 0.000 0.000
Ce1 0.500 0.500 0.500
Sc1 0.750 0.750 0.750
Ga1 0.250 0.250 0.250
# Mass density   6.817 g/cm³
# SG   F-43m (216)
# Energy   -20.43 eV/cell
# Formation energy from the elements   -0.127 eV/atom

***

# MgNiSe (PBE, relaxed)
data_MgNiSe
_cell_length_a 5.330
_cell_length_b 3.678
_cell_length_c 5.592
_cell_angle_alpha 90.00
_cell_angle_beta 90.55
_cell_angle_gamma 90.00
_symmetry_space_group_name_H-M 'P 1'
_symmetry_Int_Tables_number 1
loop_
_symmetry_equiv_pos_as_xyz
'x,y,z'
loop_
_atom_site_label
_atom_site_fract_x
_atom_site_fract_y
_atom_site_fract_z
Mg1 0.157 0.250 0.277
Mg2 0.843 0.750 0.723
Ni1 0.380 0.750 0.589
Ni2 0.620 0.250 0.411
Se1 0.218 0.250 0.792
Se2 0.782 0.750 0.208
# Mass density   4.907 g/cm³
# SG   P2_1/m (11)
# Formation energy without anion corrections   -126 kJ/mol of formula units
# Energy   -24.34 eV/cell

***

# ZrPaCo (PBE, relaxed)
data_ZrPaCo
_cell_length_a 9.986
_cell_length_b 9.229
_cell_length_c 5.482
_cell_angle_alpha 81.19
_cell_angle_beta 65.96
_cell_angle_gamma 32.85
_symmetry_space_group_name_H-M 'P 1'
_symmetry_Int_Tables_number 1
loop_
_symmetry_equiv_pos_as_xyz
'x,y,z'
loop_
_atom_site_label
_atom_site_fract_x
_atom_site_fract_y
_atom_site_fract_z
Zr1 0.042 0.042 0.208
Zr2 0.208 0.208 0.042
Zr3 0.792 0.792 0.958
Zr4 0.958 0.958 0.792
Pa1 0.206 0.544 0.206
Pa2 0.456 0.794 0.456
Pa3 0.544 0.206 0.544
Pa4 0.794 0.456 0.794
Co1 0.251 0.251 0.499
Co2 0.499 0.499 0.251
Co3 0.501 0.501 0.749
Co4 0.749 0.749 0.501
# Mass density   10.946 g/cm³
# SG   Fddd (70)
# Energy   -104.00 eV/cell
# Energy relative to the lowest polymorph listed for this composition   1.0 kJ per mole of atoms
# Formation energy from the elements   -0.283 eV/atom